## ErNF (PBE)

Data for an optimized crystal structure of ErNF.

The structure in POSCAR format:
```
ErNF
1.0
6.011 0.000 0.000
-3.005 5.205 0.000
0.000 0.000 3.508
Er N F
3 3 3
direct
0.000 0.000 0.000
0.333 0.667 0.500
0.667 0.333 0.500
0.000 0.421 0.000
0.421 0.000 0.000
0.579 0.579 0.000
0.000 0.761 0.500
0.239 0.239 0.500
0.761 0.000 0.500
```

## Properties
volume = 109.76 Å³/cell
density of states at the Fermi level = 0.334 states/eV/atom
raw formation energy = -2.026 eV per atom
theoretical density = 9.1 g cm⁻³
SG = P-62m, No. 189

## VZnNiRh2 (PBE)

Data for an optimized crystal structure of VZnNiRh2.

The structure in POSCAR format:
```
VZnNiRh2
1.0
4.385 0.000 0.000
0.000 4.385 0.000
0.000 0.000 4.696
V Zn Ni Rh
1 1 1 2
direct
0.000 0.000 0.000
0.000 0.000 0.500
0.500 0.500 0.500
0.000 0.500 0.000
0.500 0.000 0.000
```

## Properties
volume = 90.30 Å³/cell
density of states at the Fermi level = 1.407 states/eV/atom
ΔH_f (0 K) = 1.00 eV per atom
theoretical density = 7.0 g cm⁻³
SG = P4/mmm, No. 123

## PtO (PBE)

Data for an optimized crystal structure of PtO.

The structure in POSCAR format:
```
PtO
1.0
2.851 0.000 0.000
-1.426 2.469 0.000
0.000 0.000 7.156
Pt O
2 2
direct
0.333 0.667 0.000
0.667 0.333 0.500
0.333 0.667 0.732
0.667 0.333 0.232
```

## Properties
volume = 50.38 Å³/cell
density of states at the Fermi level = 0.969 states/eV/atom
raw formation energy = 0.211 eV per atom
theoretical density = 13.9 g cm⁻³
SG = P6_3mc, No. 186

## TmZr4Ru5 (PBE)

Data for an optimized crystal structure of TmZr4Ru5.

The structure in POSCAR format:
```
TmZr4Ru5
1.0
3.287 0.000 0.000
0.000 3.287 0.000
0.000 0.000 16.559
Tm Zr Ru
1 4 5
direct
0.000 0.000 0.000
0.000 0.000 0.201
0.000 0.000 0.400
0.000 0.000 0.600
0.000 0.000 0.799
0.500 0.500 0.109
0.500 0.500 0.304
0.500 0.500 0.500
0.500 0.500 0.696
0.500 0.500 0.891
```

## Properties
volume = 178.88 Å³/cell
density of states at the Fermi level = 0.198 states/eV/atom
ΔH_f (0 K) = -0.63 eV per atom
theoretical density = 9.6 g cm⁻³
SG = P4/mmm, No. 123

## Ru5Pt3 (PBE)

Data for an optimized crystal structure of Ru5Pt3.

The structure in POSCAR format:
```
Ru5Pt3
1.0
5.193 -4.775 0.000
5.193 4.775 0.000
-2.272 0.000 4.694
Ru Pt
10 6
direct
0.043 0.957 0.750
0.163 0.583 0.511
0.205 0.290 0.739
0.290 0.205 0.239
0.417 0.837 0.989
0.583 0.163 0.011
0.710 0.795 0.761
0.795 0.710 0.261
0.837 0.417 0.489
0.957 0.043 0.250
0.078 0.669 0.994
0.331 0.922 0.506
0.459 0.541 0.250
0.541 0.459 0.750
0.669 0.078 0.494
0.922 0.331 0.006
```

## Properties
volume = 232.77 Å³/cell
density of states at the Fermi level = 0.973 states/eV/atom
ΔH_f (0 K) = 0.02 eV per atom
theoretical density = 15.6 g cm⁻³
SG = C2/c, No. 15
energy relative to the lowest polymorph listed for this composition = 0.0 meV/atom

## CaBiPb6 (PBE)

Data for an optimized crystal structure of CaBiPb6.

The structure in POSCAR format:
```
CaBiPb6
1.0
5.949 0.000 0.000
0.000 5.949 0.000
0.000 0.000 7.140
Ca Bi Pb
1 1 6
direct
0.000 0.000 0.000
0.000 0.000 0.500
0.000 0.500 0.263
0.000 0.500 0.737
0.500 0.000 0.263
0.500 0.000 0.737
0.500 0.500 0.000
0.500 0.500 0.500
```

## Properties
volume = 252.71 Å³/cell
density of states at the Fermi level = 0.369 states/eV/atom
ΔH_f (0 K) = -0.09 eV per atom
theoretical density = 9.8 g cm⁻³
SG = P4/mmm, No. 123

## Dy2Co5P4 (PBE)

Data for an optimized crystal structure of Dy2Co5P4.

The structure in POSCAR format:
```
Dy2Co5P4
1.0
0.000 4.601 6.511
2.564 0.000 6.511
2.564 4.601 0.000
Dy Co P
2 5 4
direct
0.137 0.137 0.863
0.863 0.863 0.137
0.000 0.000 0.500
0.250 0.250 0.250
0.500 0.500 0.000
0.500 0.500 0.500
0.750 0.750 0.750
0.213 0.528 0.472
0.472 0.787 0.213
0.528 0.213 0.787
0.787 0.472 0.528
```

## Properties
volume = 153.61 Å³/cell
density of states at the Fermi level = 0.622 states/eV/atom
ΔH_f (0 K) = -0.83 eV per atom
theoretical density = 8.0 g cm⁻³
SG = Fmmm, No. 69

## MnPOs2 (PBE)

Data for an optimized crystal structure of MnPOs2.

The structure in POSCAR format:
```
MnPOs2
1.0
1.404 0.810 7.873
-1.404 0.810 7.873
0.000 -1.621 7.873
Mn P Os
1 1 2
direct
0.000 0.000 0.000
0.500 0.500 0.500
0.245 0.245 0.245
0.755 0.755 0.755
```

## Properties
volume = 53.73 Å³/cell
density of states at the Fermi level = 1.002 states/eV/atom
ΔH_f (0 K) = 0.15 eV per atom
theoretical density = 14.4 g cm⁻³
SG = R-3m, No. 166

## BaZrP2 (PBE)

Data for an optimized crystal structure of BaZrP2.

The structure in POSCAR format:
```
BaZrP2
1.0
3.745 -3.824 0.000
3.745 3.824 0.000
-0.729 0.000 3.265
Ba Zr P
1 1 2
direct
0.000 0.000 0.000
0.500 0.500 0.000
0.000 0.500 0.500
0.500 0.000 0.500
```

## Properties
volume = 93.52 Å³/cell
density of states at the Fermi level = 0.472 states/eV/atom
ΔH_f (0 K) = -0.36 eV per atom
theoretical density = 5.2 g cm⁻³
SG = C2/m, No. 12
energy relative to the lowest polymorph listed for this composition = 757.7 meV/atom

## PrSmScIn (PBE)

Data for an optimized crystal structure of PrSmScIn.

The structure in POSCAR format:
```
PrSmScIn
1.0
0.000 3.867 3.867
3.867 0.000 3.867
3.867 3.867 0.000
Pr Sm Sc In
1 1 1 1
direct
0.000 0.000 0.000
0.500 0.500 0.500
0.750 0.750 0.750
0.250 0.250 0.250
```

## Properties
volume = 115.67 Å³/cell
density of states at the Fermi level = 1.295 states/eV/atom
ΔH_f (0 K) = -0.17 eV per atom
theoretical density = 6.5 g cm⁻³
SG = F-43m, No. 216
energy relative to the lowest polymorph listed for this composition = 57.5 meV/atom

## RbLiAgTe (PBE)

Data for an optimized crystal structure of RbLiAgTe.

The structure in POSCAR format:
```
RbLiAgTe
1.0
4.248 0.000 0.000
0.000 4.248 0.000
0.000 0.000 13.898
Rb Li Ag Te
2 2 2 2
direct
0.250 0.250 0.233
0.750 0.750 0.767
0.250 0.750 0.500
0.750 0.250 0.500
0.250 0.750 0.000
0.750 0.250 0.000
0.250 0.250 0.626
0.750 0.750 0.374
```

## Properties
volume = 250.84 Å³/cell
density of states at the Fermi level = 0.196 states/eV/atom
raw formation energy = -0.534 eV per atom
theoretical density = 4.3 g cm⁻³
SG = P4/nmm, No. 129

## BaScMoP2 (PBE)

Data for an optimized crystal structure of BaScMoP2.

The structure in POSCAR format:
```
BaScMoP2
1.0
5.414 0.000 0.000
0.000 5.414 0.000
0.000 0.000 5.330
Ba Sc Mo P
1 1 1 2
direct
0.000 0.000 0.000
0.500 0.500 0.500
0.000 0.000 0.500
0.000 0.500 0.000
0.500 0.000 0.000
```

## Properties
volume = 156.22 Å³/cell
density of states at the Fermi level = 1.259 states/eV/atom
ΔH_f (0 K) = 1.88 eV per atom
theoretical density = 3.6 g cm⁻³
SG = P4/mmm, No. 123